First-principles (GGA+U) data for CrRe2PbO8 after structural relaxation, as listed in the Alexandria database.

abc: 5.886 5.886 6.948
angles: 90.00 90.00 120.00
Site moments in Bohr magnetons follow the coordinates.
Fractional positions:
O: 0.667 0.333 0.977  0.06
O: 0.333 0.667 0.023  0.06
O: 0.842 0.677 0.296  0.01
Cr: 0.000 0.000 0.500  3.92
Re: 0.667 0.333 0.232  0.53
Re: 0.333 0.667 0.768  0.53
O: 0.323 0.165 0.296  0.01
O: 0.158 0.323 0.704  0.01
O: 0.165 0.842 0.704  0.01
Pb: 0.000 0.000 0.000  0.05
O: 0.835 0.158 0.296  0.01
O: 0.677 0.835 0.704  0.01

Values from the calculation:
Its spin magnetization is 0.47 μB/atom. The value obtained for the total energy is -7.70 eV/atom. Its space group is P-3.